Rb4MoO5 | PBE+U | relaxed

Output
- total magnetic moment (Bohr magnetons per cell) = 0.000
- final energy (eV/cell) = -52.20
- crystal system = tetragonal

a b c (Å): 5.881 6.700 6.700
angles (deg): 78.89 63.97 63.97
Atoms (fractional coordinates):
Rb (0.411, 0.405, 0.811)
Rb (0.816, 0.811, 0.595)
Rb (0.222, 0.189, 0.405)
Rb (0.627, 0.595, 0.189)
Mo (0.068, 0.000, 0.000)
O (0.930, 0.278, 0.856)
O (0.207, 0.856, 0.722)
O (0.786, 0.144, 0.278)
O (0.064, 0.722, 0.144)
O (0.378, 0.000, 0.000)